Cd2SiH2 after structural relaxation. Source: the Alexandria database, functional PBE.

```
data_Cd2SiH2
_space_group_name_H-M_alt 'P 1'
_space_group_IT_number 1
_cell_length_a 4.727
_cell_length_b 4.727
_cell_length_c 4.684
_cell_angle_alpha 59.70
_cell_angle_beta 59.70
_cell_angle_gamma 90.00
loop_
_space_group_symop_operation_xyz
'x,y,z'
loop_
_atom_site_label
_atom_site_type_symbol
_atom_site_fract_x
_atom_site_fract_y
_atom_site_fract_z
Si1 Si 0.000 0.000 0.000
Cd1 Cd 0.750 0.250 0.500
H1 H 0.558 0.558 0.883
Cd2 Cd 0.250 0.750 0.500
H2 H 0.442 0.442 0.117
```

Properties
**Energy relative to the lowest polymorph listed for this composition**: 0.000 eV/f.u.
**VASP energy**: -2.5521 eV/atom
**Total magnetization**: 0.00 μB per formula unit